Entry 1:
Ag3Pt2: PBEsol geometry, SCAN.

## Properties
* final energy: -46.8741 eV/atom
* excess energy over the best structure of this formula in the dataset: 67 meV per atom

Lattice parameters (Å, degrees): 6.308 6.308 3.974 90.00 90.00 90.00
Space group P4_2/m (No. 84)
Inequivalent atoms, fractional coordinates:
1 Ag 0.000 0.500 0.000
2 Ag 0.097 0.796 0.500
3 Pt 0.309 0.403 0.500

---

Entry 2:
AgPt5: PBEsol geometry, SCAN.

## Properties
* final energy: -63.6773 eV/atom

Lattice parameters (Å, degrees): 2.768 2.768 11.892 90.00 90.00 90.00
Space group P4/mmm (No. 123)
Inequivalent atoms, fractional coordinates:
1 Ag 0.000 0.000 0.000
2 Pt 0.000 0.000 0.337
3 Pt 0.500 0.500 0.173
4 Pt 0.500 0.500 0.500

---

Entry 3:
Ag5Pt: PBEsol geometry, SCAN.

## Properties
* final energy: -37.8343 eV/atom
* excess energy over the best structure of this formula in the dataset: 4 meV per atom

Lattice parameters (Å, degrees): 10.540 2.830 6.786 90.00 106.03 90.00
Space group Cm (No. 8)
Inequivalent atoms, fractional coordinates:
1 Ag 0.000 0.000 0.000
2 Ag 0.054 0.000 0.614
3 Ag 0.165 0.500 0.332
4 Ag 0.330 0.000 0.670
5 Ag 0.387 0.000 0.277
6 Pt 0.221 0.500 0.946

---

| no. | Fermi-level density of states (states/eV/cell) | spin magnetization (Bohr magnetons per cell) |
| --- | --- | --- |
| 1 | 3.980 | 0.00 |
| 2 | 7.831 | 0.67 |
| 3 | 3.421 | 0.00 |